Record 1
The following is a DFT calculation (PBE) of a geometry-optimized K3ThF8 structure.

Unit cell a=6.101 b=6.101 c=6.101 alpha=90.00 beta=90.00 gamma=90.00
Sites, in units of the cell vectors:
K 0.000 0.000 0.500
K 0.000 0.500 0.000
K 0.500 0.000 0.000
Th 0.500 0.500 0.500
F 0.278 0.278 0.278
F 0.278 0.278 0.722
F 0.278 0.722 0.278
F 0.278 0.722 0.722
F 0.722 0.278 0.278
F 0.722 0.278 0.722
F 0.722 0.722 0.278
F 0.722 0.722 0.722

Output
- ρ: 3.67 g/cm3
- N(E_F): 13.25 states/eV/cell
- Total moment: 1.1 μB/cell
- Uncorrected formation energy: -3173.4 meV/atom

=====

Record 2
The following is a DFT calculation (PBE) of a geometry-optimized TbCd2Hg5 structure.

Unit cell a=8.500 b=8.500 c=8.500 alpha=124.73 beta=124.73 gamma=81.99
Sites, in units of the cell vectors:
Tb 0.250 0.250 0.000
Tb 0.750 0.750 0.000
Cd 0.144 0.644 0.788
Cd 0.356 0.144 0.500
Cd 0.644 0.856 0.500
Cd 0.856 0.356 0.212
Hg 0.000 0.000 0.000
Hg 0.008 0.811 0.500
Hg 0.189 0.689 0.197
Hg 0.311 0.508 0.500
Hg 0.492 0.992 0.803
Hg 0.500 0.500 0.000
Hg 0.508 0.008 0.197
Hg 0.689 0.492 0.500
Hg 0.811 0.311 0.803
Hg 0.992 0.189 0.500

Output
- Total energy: -1.10 eV per atom
- ρ: 11.55 g/cm3
- N(E_F): 7.64 states/eV/cell
- Total moment: 0.0 μB/cell

=====

Record 3
The following is a DFT calculation (PBE) of a geometry-optimized TaCoNi structure.

Unit cell a=4.036 b=4.036 c=4.036 alpha=60.00 beta=60.00 gamma=60.00
Sites, in units of the cell vectors:
Ta 0.000 0.000 0.000
Co 0.750 0.750 0.750
Ni 0.250 0.250 0.250

Output
- Distance to the lowest polymorph of the same formula: 1.929 eV/f.u.
- ρ: 10.66 g/cm3
- N(E_F): 1.81 states/eV/cell
- Total moment: 0.0 μB/cell